[1]
# CsGaAu3

An optimized crystal structure of CsGaAu3 (PBE, the Alexandria database).

Values from the calculation:
The value obtained for the energy above the most stable polymorph in this dataset is 0 meV per atom. For the total magnetic moment, the calculation gives 0.00 μB per formula unit. The calculation puts the formation enthalpy at 0 K at -0.19 eV per atom.

The structure in CIF format:
```
data_CsGaAu3
_symmetry_space_group_name_H-M 'P 1'
_symmetry_Int_Tables_number 1
_symmetry_space_group_name_Hall 'P 1'
_cell_length_a 5.627
_cell_length_b 6.918
_cell_length_c 7.586
_cell_angle_alpha 61.69
_cell_angle_beta 90.54
_cell_angle_gamma 92.17
loop_
_atom_site_label
_atom_site_fract_x
_atom_site_fract_y
_atom_site_fract_z
Cs1 0.383 0.293 0.266
Cs2 0.385 0.499 0.692
Ga1 0.937 0.704 0.268
Ga2 0.669 0.938 0.819
Au1 0.886 0.303 0.547
Au2 0.204 0.938 0.772
Au3 0.380 0.854 0.150
Au4 0.890 0.916 0.484
Au5 0.836 0.117 0.050
Au6 0.878 0.560 0.969
```

---

[2]
# CsGa12Au7

An optimized crystal structure of CsGa12Au7 (PBE, the Alexandria database).

Values from the calculation:
For the total magnetic moment, the calculation gives 0.00 μB per formula unit. The calculation puts the formation enthalpy at 0 K at -0.14 eV per atom.

The structure in CIF format:
```
data_CsGa12Au7
_symmetry_space_group_name_H-M 'P 1'
_symmetry_Int_Tables_number 1
_symmetry_space_group_name_Hall 'P 1'
_cell_length_a 7.207
_cell_length_b 8.898
_cell_length_c 7.873
_cell_angle_alpha 66.77
_cell_angle_beta 82.53
_cell_angle_gamma 109.16
loop_
_atom_site_label
_atom_site_fract_x
_atom_site_fract_y
_atom_site_fract_z
Cs1 0.000 0.000 0.000
Ga1 0.721 0.480 0.198
Ga2 0.116 0.873 0.538
Ga3 0.497 0.333 0.919
Ga4 0.586 0.107 0.270
Ga5 0.767 0.605 0.487
Ga6 0.839 0.299 0.689
Ga7 0.161 0.701 0.311
Ga8 0.233 0.395 0.513
Ga9 0.414 0.893 0.730
Ga10 0.503 0.667 0.081
Ga11 0.884 0.127 0.462
Ga12 0.279 0.520 0.802
Au1 0.902 0.520 0.848
Au2 0.289 0.225 0.293
Au3 0.501 0.252 0.586
Au4 0.500 0.000 0.000
Au5 0.499 0.748 0.414
Au6 0.711 0.775 0.707
Au7 0.098 0.480 0.152
```

---

> Which value of total magnetic moment does entry 1 give?

0.00 μB per formula unit